Computed, not measured: a relaxed structure of CoPIrO2 at the PBE with a Hubbard U level of DFT.

a = 3.4245 Å, b = 3.4245 Å, c = 7.5950 Å
α = 90.00°, β = 90.00°, γ = 90.00°
Fractional coordinates of all 5 atoms:
Co 0.0000 0.0000 0.0000
P 0.0000 0.0000 0.5000
Ir 0.5000 0.5000 0.5000
O 0.0000 0.5000 0.0000
O 0.5000 0.0000 0.0000

* VASP energy: -28.38 eV for the cell shown
* crystal system: tetragonal
* M_tot: 3.147 μB/f.u.